1.
Computed, not measured: a geometry-optimized YHfZr2 structure at the PBE level of DFT.

## Properties
Theoretical density   7.5 g/cm³
E above lowest polymorph   0.023 eV/atom
Formation energy from the elements   119.4 meV per atom

Cell lengths 3.7803, 3.7803, 6.9924 Å; angles 90.00, 90.00, 90.00 degrees
Space group P4/mmm (No. 123)
One atom of each set of equivalent atoms:
Y  0.0000  0.0000  0.0000 (multiplicity 1)
Hf  0.0000  0.0000  0.5000 (multiplicity 1)
Zr  0.5000  0.5000  0.2894 (multiplicity 2)

***

2.
Computed, not measured: a geometry-optimized CaYCu2 structure at the PBE level of DFT.

## Properties
Theoretical density   5.4 g/cm³
Formation energy from the elements   141.9 meV per atom

Cell lengths 6.8001, 6.8001, 6.8001 Å; angles 90.00, 90.00, 90.00 degrees
Space group F-43m (No. 216)
One atom of each set of equivalent atoms:
Ca  0.0000  0.0000  0.0000 (multiplicity 4)
Y  0.2500  0.2500  0.2500 (multiplicity 4)
Cu  0.0000  0.0000  0.5000 (multiplicity 4)
Cu  0.2500  0.2500  0.7500 (multiplicity 4)

***

3.
Computed, not measured: a geometry-optimized InI2O structure at the PBE level of DFT.

## Properties
Raw formation energy   0.08 eV per atom
Theoretical density   4.3 g/cm³
E above lowest polymorph   0.000 eV/atom

Cell lengths 6.8986, 6.8986, 12.4461 Å; angles 90.00, 90.00, 90.00 degrees
Space group I-42d (No. 122)
One atom of each set of equivalent atoms:
In  0.0000  0.0000  0.0000 (multiplicity 4)
I  0.0504  0.7500  0.6250 (multiplicity 8)
O  0.0000  0.0000  0.5000 (multiplicity 4)

***

Q: Number 2 is which compound?
A: CaYCu2

***

Q: Number 2 is which compound?
A: CaYCu2

***

Q: Look up the theoretical density of the second one.
A: 5.4 g/cm³